[1]
12
Lattice="6.7225 0.0000 0.0000 0.0000 6.2307 0.0000 -3.3191 0.0000 8.0725" Properties=species:S:1:pos:R:3 comment="BaHgPt (PBE-GGA, relaxed)" n_ef_per_ev_cell=4.5 e_form_ev_per_atom=-0.605 mass_density_g_cm3=10.47 pbc="T T T"
Ba 0.0224 0.7076 2.9986
Ba -1.6372 2.4078 7.0348
Ba 5.0406 3.8229 1.0377
Ba 3.3811 5.5231 5.0739
Hg 1.7235 3.7507 2.3875
Hg 0.0639 5.5953 6.4237
Hg 3.3395 0.6353 1.6488
Hg 1.6800 2.4800 5.6851
Pt -0.5085 3.8093 4.2214
Pt 1.1510 5.5367 0.1851
Pt 2.2524 0.6939 7.8874
Pt 3.9120 2.4214 3.8511



[2]
10
Lattice="6.8828 0.0000 0.0000 0.0000 6.8828 0.0000 0.0000 0.0000 2.5544" Properties=species:S:1:pos:R:3 comment="Mn2NbFe2 (PBE-GGA, relaxed)" polymorph_energy_ev_per_atom=0.001 n_ef_per_ev_cell=9.6 e_form_ev_per_atom=0.100 mass_density_g_cm3=8.63 pbc="T T T"
Mn 0.8277 2.6137 0.0000
Mn 2.6137 6.0551 0.0000
Mn 4.2691 0.8277 0.0000
Mn 6.0551 4.2691 0.0000
Nb 0.0000 0.0000 0.0000
Nb 3.4414 3.4414 0.0000
Fe 1.1816 4.6230 1.2772
Fe 2.2598 1.1816 1.2772
Fe 4.6230 5.7012 1.2772
Fe 5.7012 2.2598 1.2772



[3]
12
Lattice="6.9663 0.0000 0.0000 0.0000 9.5189 0.0000 -0.0298 0.0000 7.3659" Properties=species:S:1:pos:R:3 comment="ThTlIn2Br8 (PBE-GGA, relaxed)" n_ef_per_ev_cell=5.8 e_form_raw_kj_per_mol_atoms=-107.0 mass_density_g_cm3=4.44 pbc="T T T"
Th 0.0000 0.0000 0.0000
Tl 0.0000 4.7595 0.0000
In 3.4682 2.4957 3.6830
In 3.4682 7.0233 3.6830
Br 1.6157 2.0601 6.2548
Br 1.6157 7.4588 6.2548
Br 1.6533 0.0000 2.3301
Br 1.9868 4.7595 2.6364
Br 4.9497 4.7595 4.7295
Br 5.2832 0.0000 5.0358
Br 5.3208 2.0601 1.1111
Br 5.3208 7.4588 1.1111



[4]
14
Lattice="0.0000 6.7580 6.7580 6.7580 0.0000 6.7580 6.7580 6.7580 0.0000" Properties=species:S:1:pos:R:3 comment="La4TePb2 (PBE-GGA, relaxed)" polymorph_energy_ev_per_atom=0.293 n_ef_per_ev_cell=10.1 e_form_raw_kj_per_mol_atoms=-55.3 mass_density_g_cm3=5.91 pbc="T T T"
La 10.2986 6.5964 6.5964
La 3.2174 3.2174 3.2174
La 6.9196 6.9196 3.2174
La 6.9196 3.2174 6.9196
La 6.5964 10.2986 6.5964
La 6.5964 6.5964 10.2986
La 10.2986 10.2986 10.2986
La 3.2174 6.9196 6.9196
Te 5.0685 5.0685 5.0685
Te 8.4475 8.4475 8.4475
Pb 0.0000 0.0000 0.0000
Pb 3.3790 3.3790 0.0000
Pb 3.3790 0.0000 3.3790
Pb 0.0000 3.3790 3.3790



[5]
5
Lattice="4.6427 0.0000 0.0000 0.0000 4.6427 0.0000 0.0000 0.0000 4.8591" Properties=species:S:1:pos:R:3 comment="CrCoSCl2 (PBE-GGA, relaxed)" polymorph_energy_ev_per_atom=0.053 n_ef_per_ev_cell=5.8 e_form_raw_kj_per_mol_atoms=18.6 mass_density_g_cm3=3.39 pbc="T T T"
Cr 0.0000 0.0000 0.0000
Co 2.3214 2.3214 2.4296
S 0.0000 0.0000 2.4296
Cl 0.0000 2.3214 0.0000
Cl 2.3214 0.0000 0.0000



[6]
4
Lattice="-1.3750 2.2114 4.3970 1.3750 -2.2114 4.3970 1.3750 2.2114 -4.3970" Properties=species:S:1:pos:R:3 comment="Li2TcPt (PBE-GGA, relaxed)" polymorph_energy_ev_per_atom=0.158 n_ef_per_ev_cell=3.7 e_form_ev_per_atom=0.031 mass_density_g_cm3=9.53 pbc="T T T"
Li 0.0000 0.0000 0.0000
Li 0.0000 2.2114 2.3168
Tc 0.0000 0.0000 4.4020
Pt 1.3750 0.0000 2.1741



[7]
8
Lattice="4.7802 0.0000 0.0000 -0.1282 5.2938 0.0000 -2.0448 -0.7677 4.9380" Properties=species:S:1:pos:R:3 comment="Ti6AuN (PBE-GGA, relaxed)" n_ef_per_ev_cell=7.9 e_form_raw_kj_per_mol_atoms=-53.0 mass_density_g_cm3=6.62 pbc="T T T"
Ti -0.0991 1.4810 0.7930
Ti -0.0712 4.0392 2.1739
Ti 0.4125 1.5721 3.6232
Ti 2.1947 2.9540 1.3149
Ti 2.6783 0.4868 2.7642
Ti 2.7062 3.0450 4.1451
Au 2.3901 0.0000 0.0000
N -1.0865 2.2630 2.4690



[8]
4
Lattice="-1.6948 3.9657 4.5935 1.6948 -3.9657 4.5935 1.6948 3.9657 -4.5935" Properties=species:S:1:pos:R:3 comment="TaCoBr2 (PBE-GGA, relaxed)" polymorph_energy_ev_per_atom=0.666 n_ef_per_ev_cell=0.1 e_form_raw_kj_per_mol_atoms=37.7 mass_density_g_cm3=5.37 pbc="T T T"
Ta 0.0000 0.0000 0.0000
Co 0.0000 3.9657 3.0900
Br 1.6948 0.0000 2.1340
Br 0.0000 0.0000 5.8821



[9]
4
Lattice="1.4059 0.8117 8.1537 -1.4059 0.8117 8.1537 0.0000 -1.6234 8.1537" Properties=species:S:1:pos:R:3 comment="Tc2NiCl (PBE-GGA, relaxed)" polymorph_energy_ev_per_atom=0.232 n_ef_per_ev_cell=5.5 e_form_raw_kj_per_mol_atoms=45.9 mass_density_g_cm3=8.63 pbc="T T T"
Tc 0.0000 0.0000 6.0863
Tc 0.0000 0.0000 18.3747
Ni 0.0000 0.0000 12.2305
Cl 0.0000 0.0000 0.0000



[10]
4
Lattice="3.0874 0.0000 0.0000 0.0000 4.6641 0.0000 0.0000 0.0000 4.2493" Properties=species:S:1:pos:R:3 comment="Mo2AsP (PBE-GGA, relaxed)" polymorph_energy_ev_per_atom=0.258 n_ef_per_ev_cell=4.2 e_form_ev_per_atom=-0.149 mass_density_g_cm3=8.08 pbc="T T T"
Mo 0.0000 0.0000 0.0000
Mo 1.5437 2.3320 1.0145
As 1.5437 0.0000 2.1028
P 0.0000 2.3320 3.2681



[11]
12
Lattice="2.3777 -11.2622 0.0000 2.3777 11.2622 0.0000 0.0000 0.0000 4.7621" Properties=species:S:1:pos:R:3 comment="Li7Cd2Pb3 (PBE-GGA, relaxed)" n_ef_per_ev_cell=4.5 e_form_ev_per_atom=-0.160 mass_density_g_cm3=5.83 pbc="T T T"
Li 0.0000 0.0000 0.0000
Li 2.3777 9.6339 2.3811
Li 2.3777 5.0259 0.0000
Li 2.3777 1.6989 0.0000
Li 2.3777 -1.6989 0.0000
Li 2.3777 -5.0259 0.0000
Li 2.3777 -9.6339 2.3811
Cd 2.3777 7.9614 0.0000
Cd 2.3777 -7.9614 0.0000
Pb 2.3777 3.6032 2.3811
Pb 2.3777 0.0000 2.3811
Pb 2.3777 -3.6032 2.3811



[12]
4
Lattice="0.0000 3.9338 3.9338 3.9338 0.0000 3.9338 3.9338 3.9338 0.0000" Properties=species:S:1:pos:R:3 comment="Ba2HfCo (PBE-GGA, relaxed)" polymorph_energy_ev_per_atom=0.570 n_ef_per_ev_cell=8.5 e_form_ev_per_atom=1.144 mass_density_g_cm3=6.98 pbc="T T T"
Ba 1.9669 1.9669 1.9669
Ba 5.9007 5.9007 5.9007
Hf 0.0000 0.0000 0.0000
Co 3.9338 3.9338 3.9338



[13]
4
Lattice="0.0000 3.6285 3.6285 3.6285 0.0000 3.6285 3.6285 3.6285 0.0000" Properties=species:S:1:pos:R:3 comment="LiAcPdAu (PBE-GGA, relaxed)" polymorph_energy_ev_per_atom=0.148 n_ef_per_ev_cell=2.8 e_form_ev_per_atom=-0.563 mass_density_g_cm3=9.34 pbc="T T T"
Li 0.0000 0.0000 0.0000
Ac 3.6285 3.6285 3.6285
Pd 5.4428 5.4428 5.4428
Au 1.8143 1.8143 1.8143



[14]
12
Lattice="3.0771 -5.3292 0.0000 3.0771 5.3292 0.0000 -2.0515 0.0000 11.5080" Properties=species:S:1:pos:R:3 comment="Nd3Y6TmSc2 (PBE-GGA, relaxed)" n_ef_per_ev_cell=18.7 e_form_ev_per_atom=0.044 mass_density_g_cm3=5.39 pbc="T T T"
Nd 0.0000 0.0000 0.0000
Nd 3.0771 1.7783 0.0000
Nd 3.0771 -1.7783 0.0000
Y 1.0164 1.7886 2.9862
Y -0.0131 0.0000 8.5227
Y 1.0164 -1.7886 2.9862
Y 3.0863 1.7886 8.5218
Y 4.1158 0.0000 2.9853
Y 3.0863 -1.7886 8.5218
Tm 2.0514 0.0000 5.7540
Sc 2.0514 3.5523 5.7540
Sc 2.0514 -3.5523 5.7540



[15]
5
Lattice="4.9671 0.0000 0.0000 0.0000 4.9671 0.0000 0.0000 0.0000 4.9671" Properties=species:S:1:pos:R:3 comment="TlFeAu3 (PBE-GGA, relaxed)" polymorph_energy_ev_per_atom=0.000 n_ef_per_ev_cell=2.7 e_form_ev_per_atom=0.459 mass_density_g_cm3=11.53 pbc="T T T"
Tl 0.0000 0.0000 0.0000
Fe 2.4835 2.4835 2.4835
Au 0.0000 2.4835 2.4835
Au 2.4835 0.0000 2.4835
Au 2.4835 2.4835 0.0000



[16]
4
Lattice="0.0000 3.5369 3.5369 3.5369 0.0000 3.5369 3.5369 3.5369 0.0000" Properties=species:S:1:pos:R:3 comment="AsBr2Cl (PBE-GGA, relaxed)" polymorph_energy_ev_per_atom=0.862 n_ef_per_ev_cell=0.0 e_form_raw_kj_per_mol_atoms=32.2 mass_density_g_cm3=5.07 pbc="T T T"
As 0.0000 0.0000 0.0000
Br 1.7685 1.7685 1.7685
Br 5.3054 5.3054 5.3054
Cl 3.5369 3.5369 3.5369



[17]
5
Lattice="-1.5871 2.2927 3.4143 1.5871 -2.2927 3.4143 1.5871 2.2927 -3.4143" Properties=species:S:1:pos:R:3 comment="BeB2Mo2 (PBE-GGA, relaxed)" polymorph_energy_ev_per_atom=0.000 n_ef_per_ev_cell=2.0 e_form_ev_per_atom=-0.415 mass_density_g_cm3=7.44 pbc="T T T"
Be 0.0000 0.0000 0.0000
B 1.5871 1.3555 0.0000
B 0.0000 0.9372 3.4143
Mo 1.5871 0.0000 2.0003
Mo 0.0000 2.2927 1.4140



[18]
4
Lattice="1.9857 1.1464 6.5339 -1.9857 1.1464 6.5339 0.0000 -2.2928 6.5339" Properties=species:S:1:pos:R:3 comment="ZrNpAs2 (PBE-GGA, relaxed)" polymorph_energy_ev_per_atom=0.000 n_ef_per_ev_cell=9.7 e_form_ev_per_atom=-0.941 mass_density_g_cm3=8.90 pbc="T T T"
Zr 0.0000 0.0000 0.0000
Np 0.0000 0.0000 9.8009
As 0.0000 0.0000 4.9828
As 0.0000 0.0000 14.6190